This record from Alexandria via LeMat-Bulk describes a relaxed structure of NdHo2Tc9. The functional is GGA-PBE.

The value obtained for the total magnetic moment is 0.00 μB/cell. The energy relative to the elements comes out at -0.762 kcal/mol of atoms.

The space group is R-3m (No. 166, hexagonal axes) and the conventional cell measures 5.3872, 5.3872 and 26.1003 Å, with angles of 90.00, 90.00 and 120.00 degrees. Symmetry generates all atoms from Nd at (0.0000, 0.0000, 0.0000), Ho at (0.0000, 0.0000, 0.1435), Tc at (0.0000, 0.0000, 0.3391), Tc at (0.0000, 0.0000, 0.5000) and Tc at (0.0113, 0.5056, 0.9161).

---

This record from Alexandria via LeMat-Bulk describes a relaxed structure of NdHoTc. The functional is GGA-PBE.

The value obtained for the total magnetic moment is 0.00 μB/cell. The energy relative to the elements comes out at 6.625 kcal/mol of atoms. The calculation puts the energy above the lowest structure with this stoichiometry at 253.7 meV/atom.

The space group is Immm (No. 71) and the conventional cell measures 3.370, 6.088 and 15.616 Å, with angles of 90.00, 90.00 and 90.00 degrees. Symmetry generates all atoms from Nd at (0.000, 0.000, 0.114), Ho at (0.000, 0.000, 0.330) and Tc at (0.000, 0.192, 0.500).

---

This record from Alexandria via LeMat-Bulk describes a relaxed structure of NdHoTc4. The functional is GGA-PBE.

The value obtained for the total magnetic moment is 0.03 μB/cell. The energy relative to the elements comes out at -0.977 kcal/mol of atoms.

The space group is F-43m (No. 216) and the conventional cell measures 7.700, 7.700 and 7.700 Å, with angles of 90.00, 90.00 and 90.00 degrees. Symmetry generates all atoms from Nd at (0.000, 0.000, 0.000), Ho at (0.250, 0.250, 0.250) and Tc at (0.125, 0.125, 0.625).